## Y8TlPd2 (PBE)

Data for an optimized crystal structure of Y8TlPd2.

Output
The calculation puts the total energy at -6.171 eV/atom. The magnetic moment comes out at 1.025 μB/f.u. The calculated formation energy is -0.310 eV/atom. The space-group type is C2/m (12).

abc: 8.115 8.115 5.493
angles: 98.45 98.45 114.60
Sites, in units of the cell vectors:
Y: 0.082 0.331 0.581
Y: 0.241 0.759 0.000
Y: 0.331 0.082 0.581
Y: 0.392 0.392 0.192
Y: 0.608 0.608 0.808
Y: 0.669 0.918 0.419
Y: 0.759 0.241 0.000
Y: 0.918 0.669 0.419
Tl: 0.000 0.000 0.000
Pd: 0.304 0.696 0.500
Pd: 0.696 0.304 0.500